Below is a relaxed structure of FeCu2Au2, with properties calculated at the PBE level.

Lattice parameters (Å, degrees): 7.248 7.248 2.985 90.00 90.00 90.00
Atoms (fractional coordinates):
Fe  0.500  0.500  0.000
Cu  0.650  0.850  0.500
Cu  0.150  0.650  0.500
Fe  0.000  0.000  0.000
Au  0.352  0.852  0.000
Au  0.852  0.648  0.000
Au  0.148  0.352  0.000
Cu  0.850  0.350  0.500
Cu  0.350  0.150  0.500
Au  0.648  0.148  0.000

Values from the calculation:
- volume (Å³/cell) = 156.8
- M_tot (μB per cell) = 6.6
- energy relative to the elements (eV/atom) = 0.273
- E above lowest polymorph (kcal/mol of atoms) = 1.08

=====

Below is a relaxed structure of FeCuAu, with properties calculated at the PBE level.

Lattice parameters (Å, degrees): 6.788 2.761 4.769 90.00 103.68 90.00
Atoms (fractional coordinates):
Fe  0.005  0.000  0.377
Cu  0.701  0.500  0.110
Cu  0.701  0.000  0.610
Au  0.352  0.000  0.159
Fe  0.005  0.500  0.877
Au  0.352  0.500  0.659

Values from the calculation:
- volume (Å³/cell) = 86.9
- M_tot (μB per cell) = 5.7
- energy relative to the elements (eV/atom) = 0.208
- E above lowest polymorph (kcal/mol of atoms) = 2.07

=====

Below is a relaxed structure of FeCu2Au, with properties calculated at the PBE level.

Lattice parameters (Å, degrees): 4.588 4.588 4.574 130.26 130.25 73.22
Atoms (fractional coordinates):
Au  0.250  0.750  0.500
Fe  0.750  0.250  0.500
Cu  0.000  0.000  0.000
Cu  0.500  0.500  0.000

Values from the calculation:
- volume (Å³/cell) = 54.7
- M_tot (μB per cell) = 3.1
- energy relative to the elements (eV/atom) = 0.123

=====

Below is a relaxed structure of Fe2CuHAu, with properties calculated at the PBE level.

Lattice parameters (Å, degrees): 3.683 3.683 4.177 90.00 90.00 90.00
Atoms (fractional coordinates):
Au  0.000  0.000  0.500
Fe  0.000  0.500  0.000
Cu  0.500  0.500  0.500
Fe  0.500  0.000  0.000
H  0.000  0.000  0.000

Values from the calculation:
- volume (Å³/cell) = 56.7
- M_tot (μB per cell) = 5.1
- E above lowest polymorph (kcal/mol of atoms) = 1.95

=====

Below is a relaxed structure of Fe2CuHAu, with properties calculated at the PBE level.

Lattice parameters (Å, degrees): 3.718 3.718 4.061 90.00 90.00 90.00
Atoms (fractional coordinates):
Au  0.500  0.500  0.500
Fe  0.500  0.000  0.000
H  0.000  0.000  0.000
Cu  0.000  0.000  0.500
Fe  0.000  0.500  0.000

Values from the calculation:
- volume (Å³/cell) = 56.1
- M_tot (μB per cell) = 5.4
- E above lowest polymorph (kcal/mol of atoms) = 0.00

=====

Below is a relaxed structure of FeCu2IrAu, with properties calculated at the PBE level.

Lattice parameters (Å, degrees): 4.603 5.036 4.603 90.00 90.00 90.00
Atoms (fractional coordinates):
Fe  0.500  0.500  0.500
Au  0.000  0.500  0.000
Ir  0.000  0.000  0.000
Cu  0.000  0.000  0.500
Cu  0.500  0.000  0.000

Values from the calculation:
- volume (Å³/cell) = 106.7
- M_tot (μB per cell) = 4.4
- energy relative to the elements (eV/atom) = 1.399

=====

Below is a relaxed structure of FeCuOsAuN, with properties calculated at the PBE level.

Lattice parameters (Å, degrees): 4.790 2.746 10.956 90.00 115.60 90.00
Atoms (fractional coordinates):
Cu  0.286  0.500  0.338
N  0.462  0.000  0.032
Fe  0.735  0.000  0.625
Fe  0.735  0.500  0.125
Au  0.815  0.000  0.367
Au  0.815  0.500  0.867
Cu  0.286  0.000  0.838
Os  0.206  0.500  0.625
N  0.462  0.500  0.532
Os  0.206  0.000  0.125

Values from the calculation:
- volume (Å³/cell) = 130.0
- M_tot (μB per cell) = 3.5
- E above lowest polymorph (kcal/mol of atoms) = 2.44

=====

Below is a relaxed structure of FeCuOsAuN, with properties calculated at the PBE level.

Lattice parameters (Å, degrees): 3.750 2.746 6.503 90.00 94.54 90.00
Atoms (fractional coordinates):
N  0.294  0.500  0.297
Cu  0.545  0.000  0.809
Os  0.070  0.500  0.021
Fe  0.589  0.000  0.209
Au  0.005  0.500  0.582

Values from the calculation:
- volume (Å³/cell) = 66.8
- M_tot (μB per cell) = 2.2
- E above lowest polymorph (kcal/mol of atoms) = 3.46

=====

Below is a relaxed structure of FeCuOsAuN, with properties calculated at the PBE level.

Lattice parameters (Å, degrees): 2.890 3.943 5.892 90.00 103.86 90.00
Atoms (fractional coordinates):
Au  0.404  0.000  0.602
Fe  0.768  0.500  0.326
N  0.163  0.500  0.111
Cu  0.985  0.500  0.770
Os  0.163  0.000  0.109

Values from the calculation:
- volume (Å³/cell) = 65.2
- M_tot (μB per cell) = 2.6
- E above lowest polymorph (kcal/mol of atoms) = 0.82

=====

Below is a relaxed structure of FeCuOsAuN, with properties calculated at the PBE level.

Lattice parameters (Å, degrees): 3.637 4.860 5.364 64.41 70.14 68.01
Atoms (fractional coordinates):
N  0.937  0.223  0.230
Fe  0.124  0.179  0.899
Os  0.787  0.148  0.605
Au  0.468  0.672  0.718
Cu  0.753  0.695  0.125

Values from the calculation:
- volume (Å³/cell) = 77.5
- M_tot (μB per cell) = 1.1
- E above lowest polymorph (kcal/mol of atoms) = 6.73

=====

Below is a relaxed structure of FeCuOsAuN, with properties calculated at the PBE level.

Lattice parameters (Å, degrees): 2.764 3.856 12.888 90.00 90.00 90.00
Atoms (fractional coordinates):
N  0.000  0.000  0.431
Au  0.500  0.000  0.120
Os  0.000  0.000  0.932
Cu  0.000  0.000  0.728
Au  0.500  0.500  0.620
N  0.000  0.500  0.931
Fe  0.500  0.500  0.830
Cu  0.000  0.500  0.228
Os  0.000  0.500  0.432
Fe  0.500  0.000  0.330

Values from the calculation:
- volume (Å³/cell) = 137.4
- M_tot (μB per cell) = 4.8
- E above lowest polymorph (kcal/mol of atoms) = 0.00

=====

Below is a relaxed structure of FeCuOsAuN, with properties calculated at the PBE level.

Lattice parameters (Å, degrees): 2.828 3.966 12.082 90.00 90.00 90.00
Atoms (fractional coordinates):
Os  0.000  0.000  0.823
Fe  0.500  0.500  0.730
Au  0.000  0.500  0.522
Fe  0.000  0.000  0.230
Os  0.500  0.500  0.323
N  0.500  0.000  0.328
Cu  0.000  0.500  0.114
Cu  0.500  0.000  0.614
Au  0.500  0.000  0.022
N  0.000  0.500  0.828

Values from the calculation:
- volume (Å³/cell) = 135.5
- M_tot (μB per cell) = 4.6
- E above lowest polymorph (kcal/mol of atoms) = 0.90

=====

Below is a relaxed structure of FeCuOsAuN, with properties calculated at the PBE level.

Lattice parameters (Å, degrees): 5.010 2.739 10.275 90.00 106.85 90.00
Atoms (fractional coordinates):
Au  0.265  0.000  0.562
N  0.723  0.000  0.870
Cu  0.406  0.500  0.819
N  0.723  0.500  0.370
Os  0.943  0.500  0.259
Cu  0.406  0.000  0.319
Fe  0.745  0.000  0.049
Au  0.265  0.500  0.062
Os  0.943  0.000  0.759
Fe  0.745  0.500  0.549

Values from the calculation:
- volume (Å³/cell) = 135.0
- M_tot (μB per cell) = 4.1
- E above lowest polymorph (kcal/mol of atoms) = 3.12

=====

Below is a relaxed structure of FeCuOsAuN, with properties calculated at the PBE level.

Lattice parameters (Å, degrees): 2.725 5.003 5.312 90.83 75.23 74.04
Atoms (fractional coordinates):
Fe  0.749  0.888  0.248
Cu  0.871  0.284  0.618
N  0.099  0.201  0.245
Os  0.552  0.443  0.093
Au  0.082  0.763  0.713

Values from the calculation:
- volume (Å³/cell) = 67.0
- M_tot (μB per cell) = 2.5
- E above lowest polymorph (kcal/mol of atoms) = 2.65

=====

Below is a relaxed structure of FeCuOsAuN, with properties calculated at the PBE level.

Lattice parameters (Å, degrees): 2.736 4.703 5.615 76.29 75.90 90.00
Atoms (fractional coordinates):
N  0.534  0.045  0.290
Os  0.644  0.807  0.070
Au  0.824  0.433  0.710
Fe  0.080  0.341  0.197
Cu  0.353  0.952  0.650

Values from the calculation:
- volume (Å³/cell) = 67.9
- M_tot (μB per cell) = 2.0
- E above lowest polymorph (kcal/mol of atoms) = 2.02